VASP calculation (PBE) on a geometry-optimized CdSnPd structure.

Results
Magnetic moment   0.0 μB/f.u.
Formation energy from the elements   -0.81 eV/f.u.
Uncorrected energy   -3.64 eV/atom

The structure in POSCAR format:
```
CdSnPd
1.0
-0.846 2.794 -3.689
-5.537 -0.857 0.622
1.971 4.418 2.894
Cd Sn Pd
2 2 2
Direct
0.500 0.927 0.073
0.000 0.667 0.333
0.500 0.382 0.618
0.000 0.157 0.843
0.000 0.169 0.339
0.000 0.661 0.831
```

***

VASP calculation (PBE) on a geometry-optimized CrAg2Ir structure.

Results
Magnetic moment   0.5 μB/f.u.
Excess energy over the best structure of this formula in the dataset   0.419 eV per atom
Formation energy from the elements   2.44 eV/f.u.
Uncorrected energy   -5.44 eV/atom

The structure in POSCAR format:
```
CrAg2Ir
1.0
-2.252 -1.454 -0.208
2.155 -1.222 1.044
-2.671 2.866 8.869
Ag Cr Ir
2 1 1
Direct
0.000 0.000 0.494
0.000 0.000 0.006
0.500 0.500 0.250
0.500 0.500 0.750
```

***

VASP calculation (PBE) on a geometry-optimized TaPSe2 structure.

Results
Magnetic moment   0.0 μB/f.u.
Raw formation energy   0.380 eV per atom
Uncorrected energy   -5.68 eV/atom

The structure in POSCAR format:
```
TaPSe2
1.0
1.721 -2.428 0.000
1.721 2.428 0.000
0.000 0.000 9.768
Se P Ta
2 1 1
Direct
0.000 0.000 0.704
0.000 0.000 0.296
0.500 0.500 0.000
0.500 0.500 0.500
```

***

VASP calculation (PBE) on a geometry-optimized KNa2TbCl6 structure.

Results
Magnetic moment   0.0 μB/f.u.
Raw formation energy   -2.046 eV per atom
Uncorrected energy   -3.99 eV/atom

The structure in POSCAR format:
```
KNa2TbCl6
1.0
7.211 -0.001 0.000
3.605 6.245 0.000
3.604 2.081 6.543
Tb Cl Na K
1 6 2 1
Direct
0.324 0.324 0.029
0.942 0.581 0.236
0.241 0.942 0.236
0.372 0.714 0.764
0.581 0.241 0.236
0.714 0.150 0.764
0.150 0.372 0.764
0.521 0.521 0.437
0.008 0.008 0.974
0.808 0.808 0.576
```

***

VASP calculation (PBE) on a geometry-optimized PuH2I structure.

Results
Magnetic moment   5.0 μB/f.u.
Excess energy over the best structure of this formula in the dataset   0.023 eV per atom
Uncorrected energy   -6.21 eV/atom

The structure in POSCAR format:
```
PuH2I
1.0
-2.680 2.405 1.384
-2.078 -1.002 3.092
1.904 2.608 4.531
H Pu I
2 1 1
Direct
0.308 0.308 0.077
0.692 0.692 0.923
0.000 0.000 0.000
0.500 0.500 0.500
```

***

VASP calculation (PBE) on a geometry-optimized PmPr6Nd3 structure.

Results
Magnetic moment   0.0 μB/f.u.
Excess energy over the best structure of this formula in the dataset   0.000 eV per atom
Formation energy from the elements   1.26 eV/f.u.
Uncorrected energy   -4.65 eV/atom

The structure in POSCAR format:
```
PmPr6Nd3
1.0
6.562 0.000 0.000
0.000 11.141 -1.752
0.000 -4.194 10.469
Pr Nd Pm
12 6 2
Direct
0.557 0.290 0.370
0.374 0.527 0.943
0.874 0.943 0.527
0.557 0.630 0.710
0.149 0.719 0.281
0.856 0.034 0.966
0.649 0.281 0.719
0.374 0.057 0.473
0.057 0.710 0.630
0.057 0.370 0.290
0.874 0.473 0.057
0.356 0.966 0.034
0.089 0.383 0.617
0.961 0.058 0.294
0.461 0.294 0.058
0.461 0.942 0.706
0.589 0.617 0.383
0.961 0.706 0.942
0.606 0.810 0.190
0.106 0.190 0.810
```

***

VASP calculation (PBE) on a geometry-optimized Th2MgF11 structure.

Results
Magnetic moment   1.2 μB/f.u.
Raw formation energy   -3.643 eV per atom
Uncorrected energy   -6.29 eV/atom

The structure in POSCAR format:
```
Th2MgF11
1.0
8.001 0.000 4.170
3.744 6.810 2.577
0.374 -0.185 9.042
F Mg Th
22 2 4
Direct
0.876 0.452 0.210
0.593 0.317 0.785
0.811 0.538 0.802
0.034 0.688 0.502
0.303 0.761 0.938
0.407 0.683 0.215
0.349 0.038 0.302
0.038 0.048 0.290
0.805 0.817 0.285
0.195 0.183 0.715
0.124 0.548 0.790
0.966 0.312 0.498
0.697 0.239 0.062
0.276 0.188 0.002
0.189 0.462 0.198
0.962 0.952 0.710
0.000 0.000 0.000
0.651 0.962 0.698
0.500 0.500 0.500
0.503 0.739 0.562
0.724 0.812 0.998
0.497 0.261 0.438
0.882 0.750 0.750
0.118 0.250 0.250
0.401 0.266 0.722
0.599 0.734 0.278
0.111 0.766 0.222
0.889 0.234 0.778
```

***

VASP calculation (PBE) on a geometry-optimized Pm2SmO structure.

Results
Magnetic moment   0.0 μB/f.u.
Excess energy over the best structure of this formula in the dataset   0.000 eV per atom
Raw formation energy   -1.270 eV per atom
Uncorrected energy   -6.07 eV/atom

The structure in POSCAR format:
```
Pm2SmO
1.0
3.640 0.000 0.000
1.820 3.152 0.000
1.820 1.051 8.993
Pm O Sm
2 1 1
Direct
0.281 0.281 0.156
0.719 0.719 0.844
0.000 0.000 0.000
0.500 0.500 0.500
```

***

VASP calculation (PBE) on a geometry-optimized Ac4BiPt2 structure.

Results
Magnetic moment   0.0 μB/f.u.
Formation energy from the elements   -6.84 eV/f.u.
Uncorrected energy   -5.61 eV/atom

The structure in POSCAR format:
```
Ac4BiPt2
1.0
4.515 0.000 0.000
-2.258 7.341 0.000
0.000 0.000 15.208
Pt Ac Bi
4 8 2
Direct
0.868 0.737 0.560
0.132 0.263 0.440
0.868 0.737 0.940
0.132 0.263 0.060
0.500 0.000 0.500
0.500 0.000 0.000
0.235 0.470 0.612
0.765 0.530 0.388
0.938 0.877 0.750
0.235 0.470 0.888
0.062 0.123 0.250
0.765 0.530 0.112
0.387 0.773 0.250
0.613 0.227 0.750
```

***

VASP calculation (PBE) on a geometry-optimized Sr2LiAg4 structure.

Results
Magnetic moment   0.0 μB/f.u.
Formation energy from the elements   -0.90 eV/f.u.
Uncorrected energy   -2.51 eV/atom

The structure in POSCAR format:
```
Sr2LiAg4
1.0
-1.302 -2.172 3.923
5.474 -1.440 1.019
-1.765 7.167 3.382
Sr Ag Li
2 4 1
Direct
0.500 0.842 0.684
0.500 0.158 0.316
0.000 0.692 0.385
0.500 0.410 0.819
0.500 0.590 0.181
0.000 0.308 0.615
0.000 0.500 0.000
```

***

VASP calculation (PBE) on a geometry-optimized MgZn4Se5 structure.

Results
Magnetic moment   0.0 μB/f.u.
Raw formation energy   -0.811 eV per atom
Uncorrected energy   -3.22 eV/atom

The structure in POSCAR format:
```
MgZn4Se5
1.0
-3.254 0.584 -2.401
2.463 -3.197 -0.639
-18.699 -18.568 20.829
Zn Se Mg
8 10 2
Direct
0.667 0.333 0.798
0.667 0.333 0.404
0.333 0.667 0.700
0.667 0.333 0.200
0.333 0.667 0.897
0.667 0.333 0.995
0.667 0.333 0.601
0.333 0.667 0.503
0.333 0.667 0.823
0.667 0.333 0.724
0.333 0.667 0.224
0.667 0.333 0.527
0.667 0.333 0.921
0.333 0.667 0.020
0.333 0.667 0.429
0.667 0.333 0.126
0.667 0.333 0.330
0.333 0.667 0.626
0.333 0.667 0.098
0.333 0.667 0.302
```

***

VASP calculation (PBE) on a geometry-optimized SmPtPbAu structure.

Results
Magnetic moment   0.0 μB/f.u.
Formation energy from the elements   -2.63 eV/f.u.
Uncorrected energy   -5.09 eV/atom

The structure in POSCAR format:
```
SmPtPbAu
1.0
-4.189 -2.797 0.147
-1.754 -2.134 -4.214
0.283 -4.995 -0.601
Au Sm Pt Pb
1 1 1 1
Direct
0.250 0.250 0.250
0.000 0.000 0.000
0.750 0.750 0.750
0.500 0.500 0.500
```